[1]
A relaxed structure of PrTm2Tl2Zn2. Source: Alexandria, functional PBE.

a b c (Å): 4.8337 4.8337 26.5846
angles (deg): 90.00 90.00 120.00
Space group R-3m (No. 166, hexagonal axes)
One atom of each set of equivalent atoms:
Pr  0.0000  0.0000  0.0000 (multiplicity 3)
Tm  0.0000  0.0000  0.1340 (multiplicity 6)
Tl  0.0000  0.0000  0.2629 (multiplicity 6)
Zn  0.0000  0.0000  0.4394 (multiplicity 6)

---

[2]
A relaxed structure of KNa4F5. Source: Alexandria, functional PBE.

a b c (Å): 11.351 3.410 8.452
angles (deg): 90.00 119.14 90.00
Space group C2/m (No. 12)
One atom of each set of equivalent atoms:
K  0.000  0.000  0.000 (multiplicity 2)
Na  0.100  0.500  0.407 (multiplicity 4)
Na  0.197  0.000  0.788 (multiplicity 4)
F  0.000  0.000  0.500 (multiplicity 2)
F  0.110  0.500  0.882 (multiplicity 4)
F  0.207  0.000  0.316 (multiplicity 4)

## Properties
Formation energy (no corrections): -2.699 eV/atom
Excess energy over the best structure of this formula in the dataset: 0 meV/atom

---

[3]
A relaxed structure of KHoMg2. Source: Alexandria, functional PBE.

a b c (Å): 3.842 3.842 9.041
angles (deg): 90.00 90.00 90.00
Space group P4/mmm (No. 123)
One atom of each set of equivalent atoms:
K  0.000  0.000  0.000 (multiplicity 1)
Ho  0.000  0.000  0.500 (multiplicity 1)
Mg  0.500  0.500  0.300 (multiplicity 2)

---

[4]
A relaxed structure of TiV2Fe. Source: Alexandria, functional PBE.

a b c (Å): 2.949 4.069 8.777
angles (deg): 90.00 90.00 90.00
Space group Immm (No. 71)
One atom of each set of equivalent atoms:
Ti  0.000  0.000  0.000 (multiplicity 2)
V  0.000  0.500  0.239 (multiplicity 4)
Fe  0.000  0.000  0.500 (multiplicity 2)

---

[5]
A relaxed structure of Co2PtBr. Source: Alexandria, functional PBE.

a b c (Å): 2.833 4.075 10.904
angles (deg): 90.00 90.00 90.00
Space group Imm2 (No. 44)
One atom of each set of equivalent atoms:
Co  0.000  0.000  0.000 (multiplicity 2)
Co  0.000  0.500  0.315 (multiplicity 2)
Pt  0.000  0.000  0.579 (multiplicity 2)
Br  0.000  0.500  0.777 (multiplicity 2)

## Properties
Formation energy (no corrections): 0.580 eV/atom
Excess energy over the best structure of this formula in the dataset: 281 meV/atom

---

[6]
A relaxed structure of NaTcSb. Source: Alexandria, functional PBE.

a b c (Å): 4.221 4.221 7.614
angles (deg): 90.00 90.00 90.00
Space group P4/nmm (No. 129, origin choice 2)
One atom of each set of equivalent atoms:
Na  0.250  0.250  0.155 (multiplicity 2)
Tc  0.250  0.750  0.500 (multiplicity 2)
Sb  0.250  0.250  0.720 (multiplicity 2)

## Properties
Formation energy (no corrections): -0.049 eV/atom

---

[7]
A relaxed structure of SmLuGaSn. Source: Alexandria, functional PBE.

a b c (Å): 7.388 7.388 7.388
angles (deg): 90.00 90.00 90.00
Space group F-43m (No. 216)
One atom of each set of equivalent atoms:
Sm  0.000  0.000  0.000 (multiplicity 4)
Lu  0.000  0.000  0.500 (multiplicity 4)
Ga  0.250  0.250  0.250 (multiplicity 4)
Sn  0.250  0.250  0.750 (multiplicity 4)

---

[8]
A relaxed structure of ScCuTc3. Source: Alexandria, functional PBE.

a b c (Å): 4.549 4.549 4.549
angles (deg): 90.00 90.00 90.00
Space group Pm-3m (No. 221)
One atom of each set of equivalent atoms:
Sc  0.000  0.000  0.000 (multiplicity 1)
Cu  0.500  0.500  0.500 (multiplicity 1)
Tc  0.000  0.000  0.500 (multiplicity 3)

## Properties
Excess energy over the best structure of this formula in the dataset: 754 meV/atom

---

Which electronic total energy belongs to each record? In order, -3.171, -4.272, -2.077, -8.834, -4.901, -5.318, -4.580, -6.322 eV per atom.
Which mass density belongs to each record? In order, 9.431, 2.628, 3.143, 6.484, 10.364, 5.943, 8.464, 7.100 g/cm³.